1.
Here is a relaxed Pr3TeI7 crystal from Alexandria via LeMat-Bulk. Energies are from PBE.

Properties
E_form (uncorrected)	-1.404	eV/atom

a = 7.4662 Å, b = 9.1990 Å, c = 9.1990 Å
α = 120.00°, β = 90.00°, γ = 90.00°
Atoms (fractional coordinates):
I (0.0231, 0.1713, 0.3426)
I (0.0231, 0.1713, 0.8287)
I (0.5483, 0.8286, 0.6572)
I (0.5483, 0.8286, 0.1714)
I (0.0281, 0.6667, 0.3333)
I (0.5483, 0.3427, 0.1714)
I (0.0231, 0.6574, 0.8287)
Pr (0.7767, 0.4947, 0.9894)
Pr (0.7767, 0.4947, 0.5053)
Pr (0.7767, 0.0106, 0.5053)
Te (0.5427, 0.3333, 0.6667)

---

2.
Here is a relaxed Be3CoC crystal from Alexandria via LeMat-Bulk. Energies are from PBE.

Properties
DFT formation energy	1.714	eV per atom

a = 3.8748 Å, b = 3.8748 Å, c = 3.8748 Å
α = 90.00°, β = 90.00°, γ = 90.00°
Each line ends with the local moment (μB).
Atoms (fractional coordinates):
Co (0.0000, 0.0000, 0.0000)  0.31
Be (0.0000, 0.5000, 0.0000)  -0.02
Be (0.0000, 0.0000, 0.5000)  -0.01
Be (0.5000, 0.0000, 0.0000)  -0.03
C (0.5000, 0.5000, 0.5000)  0.26

---

3.
Here is a relaxed Ba3HfF crystal from Alexandria via LeMat-Bulk. Energies are from PBE.

Properties
E_form (uncorrected)	-0.601	eV/atom

a = 5.5746 Å, b = 5.5746 Å, c = 5.5746 Å
α = 90.00°, β = 90.00°, γ = 90.00°
Atoms (fractional coordinates):
Ba (0.0000, 0.5000, 0.0000)
Ba (0.5000, 0.0000, 0.0000)
Ba (0.0000, 0.0000, 0.5000)
Hf (0.5000, 0.5000, 0.5000)
F (0.0000, 0.0000, 0.0000)

---

4.
Here is a relaxed Tb2HoEr3Te6 crystal from Alexandria via LeMat-Bulk. Energies are from PBE.

Properties
E_form (uncorrected)	-1.250	eV/atom

a = 4.3184 Å, b = 8.7186 Å, c = 9.7076 Å
α = 103.28°, β = 102.85°, γ = 90.00°
Atoms (fractional coordinates):
Te (0.6650, 0.5857, 0.3301)
Te (0.3350, 0.4143, 0.6699)
Te (0.6662, 0.0796, 0.3325)
Te (0.9987, 0.2503, 0.9973)
Te (0.0013, 0.7497, 0.0027)
Te (0.3338, 0.9204, 0.6675)
Tb (0.8322, 0.6652, 0.6645)
Tb (0.1678, 0.3348, 0.3355)
Er (0.1682, 0.8330, 0.3365)
Er (0.5000, 0.5000, 0.0000)
Er (0.8318, 0.1670, 0.6635)
Ho (0.5000, 0.0000, 0.0000)

---

5.
Here is a relaxed MnBeSi2 crystal from Alexandria via LeMat-Bulk. Energies are from PBE.

Properties
E_form (uncorrected)	0.024	eV/atom

a = 7.5876 Å, b = 7.5876 Å, c = 7.5876 Å
α = 20.32°, β = 20.32°, γ = 20.32°
Each line ends with the local moment (μB).
Atoms (fractional coordinates):
Si (0.0021, 0.0021, 0.0021)  -0.01
Si (0.4979, 0.4979, 0.4979)  -0.01
Mn (0.7500, 0.7500, 0.7500)  0.51
Be (0.2500, 0.2500, 0.2500)  0.01

---

6.
Here is a relaxed ZnMoBr2 crystal from Alexandria via LeMat-Bulk. Energies are from PBE.

Properties
E_form (uncorrected)	0.194	eV/atom

a = 3.2052 Å, b = 3.2052 Å, c = 8.3904 Å
α = 90.00°, β = 90.00°, γ = 90.00°
Atoms (fractional coordinates):
Br (0.5000, 0.5000, 0.3414)
Br (0.0000, 0.0000, 0.9173)
Zn (0.5000, 0.5000, 0.7266)
Mo (0.0000, 0.0000, 0.5147)

---

7.
Here is a relaxed BaCa2In crystal from Alexandria via LeMat-Bulk. Energies are from PBE.

Properties
DFT formation energy	-0.243	eV per atom

a = 7.0314 Å, b = 10.0314 Å, c = 9.2741 Å
α = 90.00°, β = 90.00°, γ = 90.00°
Each line ends with the local moment (μB).
Atoms (fractional coordinates):
Ca (0.8930, 0.3297, 0.5549)  0.04
Ca (0.3930, 0.1703, 0.4451)  0.04
Ca (0.1070, 0.6703, 0.4451)  0.04
Ca (0.1070, 0.6703, 0.0549)  0.04
Ca (0.6070, 0.8297, 0.9451)  0.04
Ca (0.8930, 0.3297, 0.9451)  0.04
Ca (0.3930, 0.1703, 0.0549)  0.04
Ca (0.6070, 0.8297, 0.5549)  0.04
Ba (0.4026, 0.4639, 0.7500)  0.08
Ba (0.9026, 0.0361, 0.2500)  0.08
Ba (0.0974, 0.9639, 0.7500)  0.08
Ba (0.5974, 0.5361, 0.2500)  0.08
In (0.3807, 0.8841, 0.2500)  -0.01
In (0.8807, 0.6159, 0.7500)  -0.01
In (0.1193, 0.3841, 0.2500)  -0.01
In (0.6193, 0.1159, 0.7500)  -0.01

---

8.
Here is a relaxed Sm4Ho5Er3 crystal from Alexandria via LeMat-Bulk. Energies are from PBE.

Properties
DFT formation energy	0.236	eV per atom

a = 5.8837 Å, b = 8.5359 Å, c = 9.6221 Å
α = 105.64°, β = 72.20°, γ = 69.84°
Each line ends with the local moment (μB).
Atoms (fractional coordinates):
Sm (0.8613, 0.2219, 0.0556)  0.01
Sm (0.1387, 0.7781, 0.9444)  0.01
Sm (0.8345, 0.9500, 0.3810)  0.00
Sm (0.1655, 0.0500, 0.6190)  0.00
Er (0.0000, 0.5000, 0.5000)  0.21
Er (0.4763, 0.3122, 0.7353)  0.01
Er (0.5237, 0.6878, 0.2647)  0.01
Ho (0.2125, 0.4592, 0.1158)  0.02
Ho (0.6307, 0.9408, 0.7977)  0.01
Ho (0.3693, 0.0592, 0.2023)  0.01
Ho (0.7875, 0.5408, 0.8842)  0.02
Ho (0.5000, 0.5000, 0.5000)  0.20

---

Number 1: electronic total energy -3.9797 eV/atom. Number 2: electronic total energy -3.7875 eV/atom. Number 3: electronic total energy -4.1194 eV/atom. Number 4: electronic total energy -5.1146 eV/atom. Number 5: electronic total energy -5.9115 eV/atom. Number 6: electronic total energy -3.6686 eV/atom. Number 7: electronic total energy -2.4087 eV/atom. Number 8: electronic total energy -4.3852 eV/atom.